Record 1
The following is a DFT calculation (PBE) of Dy12ErCd6 after structural relaxation.

a = 8.145 Å, b = 8.145 Å, c = 8.145 Å
α = 87.41°, β = 87.41°, γ = 87.41°
Positions (direct):
Dy  0.801  0.538  0.436
Dy  0.436  0.801  0.538
Dy  0.538  0.436  0.801
Dy  0.199  0.462  0.564
Dy  0.564  0.199  0.462
Dy  0.462  0.564  0.199
Dy  0.023  0.163  0.374
Dy  0.837  0.626  0.977
Dy  0.626  0.977  0.837
Dy  0.977  0.837  0.626
Dy  0.163  0.374  0.023
Dy  0.374  0.023  0.163
Er  0.000  0.000  0.000
Cd  0.731  0.890  0.267
Cd  0.733  0.269  0.110
Cd  0.110  0.733  0.269
Cd  0.269  0.110  0.733
Cd  0.267  0.731  0.890
Cd  0.890  0.267  0.731

Values from the calculation:
- DFT formation energy: -86 meV/atom
- SG: R-3, No. 148
- DFT total energy: -3.522 eV per atom
- Fermi-level density of states: 23.85 states/eV per cell

Record 2
The following is a DFT calculation (PBE) of LiAcMgHg after structural relaxation.

a = 5.322 Å, b = 5.322 Å, c = 5.322 Å
α = 60.00°, β = 60.00°, γ = 60.00°
Positions (direct):
Mg  0.250  0.250  0.250
Ac  0.750  0.750  0.750
Hg  0.500  0.500  0.500
Li  0.000  0.000  0.000

Values from the calculation:
- DFT formation energy: -260 meV/atom
- SG: F-43m, No. 216
- DFT total energy: -2.240 eV per atom
- Fermi-level density of states: 2.10 states/eV per cell

Record 3
The following is a DFT calculation (PBE) of Ba6Sr2Tl after structural relaxation.

a = 4.434 Å, b = 11.476 Å, c = 11.462 Å
α = 120.04°, β = 90.00°, γ = 90.00°
Positions (direct):
Ba  0.500  0.637  0.000
Ba  0.500  0.356  0.355
Ba  0.500  0.001  0.645
Ba  0.000  0.259  0.000
Ba  0.000  0.745  0.748
Ba  0.000  0.997  0.252
Sr  0.000  0.332  0.664
Sr  0.000  0.668  0.336
Tl  0.500  0.003  0.000

Values from the calculation:
- DFT formation energy: -58 meV/atom
- SG: Amm2, No. 38
- DFT total energy: -1.977 eV per atom
- Fermi-level density of states: 13.50 states/eV per cell
- E above lowest polymorph: 0.000 eV/atom

Record 4
The following is a DFT calculation (PBE) of Nb2SnC after structural relaxation.

a = 5.580 Å, b = 5.580 Å, c = 6.651 Å
α = 65.20°, β = 65.20°, γ = 90.00°
Positions (direct):
C  0.500  0.500  0.000
C  0.250  0.750  0.500
Nb  0.505  0.125  0.250
Nb  0.245  0.625  0.250
Nb  0.375  0.495  0.750
Nb  0.875  0.755  0.750
Sn  0.000  0.000  0.000
Sn  0.750  0.250  0.500

Values from the calculation:
- DFT formation energy: 507 meV/atom
- SG: I-42d, No. 122
- DFT total energy: -7.835 eV per atom
- Fermi-level density of states: 9.52 states/eV per cell
- E above lowest polymorph: 0.940 eV/atom

Record 5
The following is a DFT calculation (PBE) of Zr4HgIr after structural relaxation.

a = 5.609 Å, b = 5.609 Å, c = 5.609 Å
α = 60.00°, β = 60.00°, γ = 60.00°
Positions (direct):
Zr  0.879  0.374  0.374
Zr  0.374  0.374  0.879
Zr  0.374  0.879  0.374
Zr  0.374  0.374  0.374
Hg  0.750  0.750  0.750
Ir  0.000  0.000  0.000

Values from the calculation:
- DFT formation energy: 290 meV/atom
- SG: F-43m, No. 216
- DFT total energy: -6.936 eV per atom
- Fermi-level density of states: 7.00 states/eV per cell

Record 6
The following is a DFT calculation (PBE) of Tb3SmNi2 after structural relaxation.

a = 3.905 Å, b = 8.328 Å, c = 9.939 Å
α = 77.53°, β = 78.67°, γ = 76.44°
Positions (direct):
Tb  0.155  0.938  0.753
Tb  0.845  0.062  0.247
Tb  0.418  0.221  0.943
Tb  0.582  0.779  0.057
Tb  0.583  0.274  0.560
Tb  0.417  0.726  0.440
Sm  0.847  0.559  0.746
Sm  0.153  0.441  0.254
Ni  0.231  0.586  0.951
Ni  0.769  0.414  0.049
Ni  0.768  0.915  0.548
Ni  0.232  0.085  0.452

Values from the calculation:
- DFT formation energy: -267 meV/atom
- SG: C2/m, No. 12
- DFT total energy: -5.296 eV per atom
- Fermi-level density of states: 13.73 states/eV per cell

Record 7
The following is a DFT calculation (PBE) of LiCrReRu after structural relaxation.

a = 4.228 Å, b = 4.228 Å, c = 4.228 Å
α = 60.00°, β = 60.00°, γ = 60.00°
Site moments in Bohr magnetons follow the coordinates.
Positions (direct):
Re  0.500  0.500  0.500  -0.44
Li  0.000  0.000  0.000  0.01
Cr  0.750  0.750  0.750  2.10
Ru  0.250  0.250  0.250  0.21

Values from the calculation:
- DFT formation energy: 155 meV/atom
- SG: F-43m, No. 216
- DFT total energy: -8.161 eV per atom
- Fermi-level density of states: 2.04 states/eV per cell

Record 8
The following is a DFT calculation (PBE) of TiCdPb2Cl after structural relaxation.

a = 5.723 Å, b = 4.478 Å, c = 5.723 Å
α = 90.00°, β = 90.00°, γ = 90.00°
Site moments in Bohr magnetons follow the coordinates.
Positions (direct):
Pb  0.000  0.000  0.500  -0.01
Pb  0.500  0.000  0.000  -0.03
Cl  0.000  0.000  0.000  -0.03
Ti  0.000  0.500  0.000  1.19
Cd  0.500  0.500  0.500  -0.01

Values from the calculation:
- ΔE_f (raw): 317 meV per atom
- SG: P4/mmm, No. 123
- DFT total energy: -3.297 eV per atom
- Fermi-level density of states: 4.63 states/eV per cell

Record 9
The following is a DFT calculation (PBE) of Pr2Nd5Ga5 after structural relaxation.

a = 4.616 Å, b = 6.230 Å, c = 13.796 Å
α = 108.31°, β = 90.00°, γ = 111.75°
Positions (direct):
Pr  0.014  0.028  0.779
Pr  0.986  0.972  0.221
Nd  0.500  0.000  0.500
Nd  0.669  0.338  0.038
Nd  0.736  0.471  0.323
Nd  0.264  0.529  0.677
Nd  0.331  0.662  0.962
Ga  0.171  0.343  0.447
Ga  0.706  0.413  0.806
Ga  0.294  0.587  0.194
Ga  0.829  0.657  0.553
Ga  0.000  0.000  0.000

Values from the calculation:
- DFT formation energy: -375 meV/atom
- SG: C2/m, No. 12
- DFT total energy: -4.420 eV per atom
- Fermi-level density of states: 12.96 states/eV per cell

Record 10
The following is a DFT calculation (PBE) of Ca4CeSe5 after structural relaxation.

a = 4.212 Å, b = 4.212 Å, c = 15.251 Å
α = 97.94°, β = 97.94°, γ = 90.00°
Site moments in Bohr magnetons follow the coordinates.
Positions (direct):
Ca  0.399  0.399  0.799  0.01
Ca  0.799  0.799  0.599  0.00
Ca  0.201  0.201  0.401  0.00
Ca  0.601  0.601  0.201  0.01
Ce  0.000  0.000  0.000  1.03
Se  0.101  0.101  0.202  0.00
Se  0.500  0.500  0.000  -0.02
Se  0.899  0.899  0.798  0.00
Se  0.300  0.300  0.600  0.00
Se  0.700  0.700  0.400  0.00

Values from the calculation:
- ΔE_f (raw): -1958 meV per atom
- SG: I4/mmm, No. 139
- DFT total energy: -5.094 eV per atom
- Fermi-level density of states: 7.49 states/eV per cell

Record 11
The following is a DFT calculation (PBE) of InFe3Br after structural relaxation.

a = 5.022 Å, b = 5.022 Å, c = 5.022 Å
α = 90.00°, β = 90.00°, γ = 90.00°
Site moments in Bohr magnetons follow the coordinates.
Positions (direct):
Fe  0.000  0.500  0.000  3.25
Fe  0.000  0.000  0.500  3.12
Fe  0.500  0.000  0.000  3.19
Br  0.500  0.500  0.500  0.20
In  0.000  0.000  0.000  -0.12

Values from the calculation:
- ΔE_f (raw): 1459 meV per atom
- SG: Pm-3m, No. 221
- DFT total energy: -4.501 eV per atom
- Fermi-level density of states: 10.70 states/eV per cell
- E above lowest polymorph: 0.456 eV/atom

Record 12
The following is a DFT calculation (PBE) of Ta2Ir2W after structural relaxation.

a = 7.542 Å, b = 7.542 Å, c = 2.957 Å
α = 90.00°, β = 90.00°, γ = 90.00°
Positions (direct):
Ir  0.369  0.869  0.000
Ir  0.869  0.631  0.000
Ir  0.631  0.131  0.000
Ir  0.131  0.369  0.000
W  0.000  0.000  0.000
W  0.500  0.500  0.000
Ta  0.169  0.669  0.500
Ta  0.669  0.831  0.500
Ta  0.831  0.331  0.500
Ta  0.331  0.169  0.500

Values from the calculation:
- DFT formation energy: -212 meV/atom
- SG: P4/mbm, No. 127
- DFT total energy: -11.088 eV per atom
- Fermi-level density of states: 5.84 states/eV per cell